Li5InAg6: relaxed, PBE-GGA.

CIF file:
```
data_Li5InAg6
_chemical_formula_sum 'Li10 In2 Ag12'
_space_group_name_H-M_alt 'C 1 2/m 1'
_space_group_IT_number 12
_cell_length_a 8.073
_cell_length_b 13.319
_cell_length_c 4.480
_cell_angle_alpha 90.00
_cell_angle_beta 123.62
_cell_angle_gamma 90.00
loop_
_space_group_symop_operation_xyz
'x,y,z'
'-x,-y,-z'
'-x,y,-z'
'x,-y,z'
'x+1/2,y+1/2,z'
'-x+1/2,-y+1/2,-z'
'-x+1/2,y+1/2,-z'
'x+1/2,-y+1/2,z'
loop_
_atom_site_label
_atom_site_fract_x
_atom_site_fract_y
_atom_site_fract_z
Li1 0.000 0.000 0.000
Li2 0.000 0.173 0.500
Li3 0.000 0.343 0.000
In1 0.000 0.500 0.500
Ag1 0.224 0.000 0.725
Ag2 0.234 0.172 0.233
```

Properties
ΔE_f: -210 meV per atom
VASP energy: -2.66 eV/atom
Crystal system: monoclinic